# PBE YTcSb, optimized geometry
data_YTcSb
_symmetry_space_group_name_H-M 'P 1'
_symmetry_Int_Tables_number 1
_cell_length_a 3.424
_cell_length_b 3.424
_cell_length_c 11.063
_cell_angle_alpha 90.00
_cell_angle_beta 90.00
_cell_angle_gamma 90.00
loop_
_symmetry_equiv_pos_as_xyz
'x,y,z'
loop_
_atom_site_label
_atom_site_type_symbol
_atom_site_fract_x
_atom_site_fract_y
_atom_site_fract_z
Y1 Y 0.000 0.000 0.000
Y2 Y 0.500 0.500 0.500
Tc1 Tc 0.000 0.000 0.676
Tc2 Tc 0.500 0.500 0.176
Sb1 Sb 0.000 0.000 0.292
Sb2 Sb 0.500 0.500 0.792
# uncorrected formation energy	-0.85	eV per formula unit
# polymorph energy (0 for the lowest one)	0.02	eV per formula unit